Entry from Alexandria via LeMat-Bulk: a relaxed BaCr2ReO8 crystal (PBE+U).

Cell and atoms, written as POSCAR:
```
BaCr2ReO8
1.0
4.0435 -3.0458 0.0000
4.0435 3.0458 0.0000
-1.8420 0.0000 6.9167
Ba Cr Re O
1 2 1 8
Direct
0.0000 0.0000 0.0000
0.4475 0.4475 0.7790
0.5525 0.5525 0.2210
0.0000 0.0000 0.5000
0.2249 0.7665 0.3058
0.2335 0.7751 0.6942
0.2338 0.2338 0.5734
0.3478 0.3478 0.9816
0.6522 0.6522 0.0184
0.7662 0.7662 0.4266
0.7665 0.2249 0.3058
0.7751 0.2335 0.6942
```

E = -89.80 eV per cell
Total moment = 5.05 μB/cell
Symmetry = C2/m (12)